# 1
Below is a relaxed Cs2CaInBr5 crystal, with properties calculated at the PBE-GGA level.

Space-group type: Cmc2_1 (36)

a b c (Å): 4.606 10.500 16.339
angles (deg): 90.00 90.00 102.67
Fractional positions:
1 Cs 0.859 0.718 0.798
2 Cs 0.084 0.168 0.649
3 Cs 0.141 0.282 0.298
4 Cs 0.916 0.832 0.149
5 Ca 0.777 0.553 0.529
6 Ca 0.223 0.447 0.029
7 In 0.542 0.084 0.953
8 In 0.458 0.916 0.453
9 Br 0.359 0.718 0.985
10 Br 0.695 0.390 0.915
11 Br 0.497 0.993 0.773
12 Br 0.260 0.519 0.647
13 Br 0.912 0.824 0.575
14 Br 0.641 0.282 0.485
15 Br 0.305 0.610 0.415
16 Br 0.503 0.007 0.273
17 Br 0.740 0.481 0.147
18 Br 0.088 0.176 0.075

=====

# 2
Below is a relaxed CsCaInBr4 crystal, with properties calculated at the PBE-GGA level.

Space-group type: P2_1/m (11)

a b c (Å): 8.743 7.872 9.699
angles (deg): 90.00 107.25 90.00
Fractional positions:
1 Cs 0.752 0.750 0.978
2 Cs 0.248 0.250 0.022
3 Ca 0.284 0.750 0.330
4 Ca 0.716 0.250 0.670
5 In 0.804 0.750 0.473
6 In 0.196 0.250 0.527
7 Br 0.951 0.503 0.721
8 Br 0.049 0.003 0.279
9 Br 0.049 0.497 0.279
10 Br 0.951 0.997 0.721
11 Br 0.399 0.750 0.098
12 Br 0.601 0.250 0.902
13 Br 0.510 0.750 0.600
14 Br 0.490 0.250 0.400

=====

# 3
Below is a relaxed CsCaIrBr2 crystal, with properties calculated at the PBE-GGA level.

Space-group type: P4/mmm (123)

a b c (Å): 6.279 5.370 6.279
angles (deg): 90.00 90.00 90.00
Site moments in Bohr magnetons follow the coordinates.
Fractional positions:
1 Cs 0.000 0.000 0.000  0.00
2 Ca 0.500 0.500 0.500  -0.03
3 Ir 0.000 0.500 0.000  1.00
4 Br 0.000 0.000 0.500  0.01
5 Br 0.500 0.000 0.000  0.01

=====

The evaluated ΔE_f (raw) for the records listed, in turn: -1.607; -1.513; 0.421 eV/atom.
The evaluated DOS at the Fermi energy for the records listed, in turn: 0.00; 0.00; 1.19 states/eV per cell.